Record 1
Here is TmTcTe after structural relaxation from OQMD via LeMat-Bulk. Energies are from PBE.

Computed properties:
E_tot in eV/atom: -5.4811
Size of the total moment in Bohr magnetons per cell: 0.0
Energy above the most stable polymorph in this dataset in eV per formula unit: 1.19
Calculated volume in Å³ per atom: 25.1

a = 6.7075 Å, b = 6.7075 Å, c = 6.7075 Å
α = 90.00°, β = 90.00°, γ = 90.00°
Closest atoms and distances in Å follow each position.
Space group F-43m (No. 216)
Unique sites:
Tm: 0.0000 0.0000 0.0000 (multiplicity 4)  4 Tc 2.90, 4 Te 2.90
Tc: 0.2500 0.2500 0.7500 (multiplicity 4)  4 Tm 2.90
Te: 0.2500 0.2500 0.2500 (multiplicity 4)  4 Tm 2.90



Record 2
Here is Ni3AgSb5 after structural relaxation from OQMD via LeMat-Bulk. Energies are from PBE.

Computed properties:
E_tot in eV/atom: -4.4753
Size of the total moment in Bohr magnetons per cell: 0.0
Calculated volume in Å³ per atom: 21.2

a = 5.2787 Å, b = 5.2787 Å, c = 7.9170 Å
α = 90.00°, β = 90.00°, γ = 120.00°
Closest atoms and distances in Å follow each position.
Space group P6/mmm (No. 191)
Unique sites:
Ni: 0.0000 0.5000 0.0000 (multiplicity 3)  4 Ni 2.64, 6 Sb 2.64-2.69
Ag: 0.0000 0.0000 0.5000 (multiplicity 1)  12 Sb 3.51
Sb: 0.0000 0.0000 0.0000 (multiplicity 1)  6 Ni 2.64
Sb: 0.3333 0.6667 0.2793 (multiplicity 4)  3 Ni 2.69



Record 3
Here is HgH2O2 after structural relaxation from OQMD via LeMat-Bulk. Energies are from PBE.

Computed properties:
E_tot in eV/atom: -4.0356
Calculated volume in Å³ per atom: 11.5

a = 4.9554 Å, b = 5.6876 Å, c = 8.1695 Å
α = 90.00°, β = 90.00°, γ = 90.00°
Closest atoms and distances in Å follow each position.
Space group P2_12_12_1 (No. 19)
Unique sites:
Hg: 0.0085 0.1864 0.1523 (multiplicity 4)  4 O 2.19-2.31
H: 0.0892 0.1173 0.7489 (multiplicity 4)  1 O 1.03
H: 0.1589 0.4179 0.6028 (multiplicity 4)  1 O 1.01
O: 0.1106 0.5896 0.6040 (multiplicity 4)  1 H 1.01
O: 0.2401 0.1521 0.6663 (multiplicity 4)  1 H 1.03



Record 4
Here is RbCuIrSe2S after structural relaxation from OQMD via LeMat-Bulk. Energies are from PBE.

Computed properties:
E_tot in eV/atom: -4.5163
Size of the total moment in Bohr magnetons per cell: 0.0
Calculated volume in Å³ per atom: 23.3

a = 3.8255 Å, b = 15.2127 Å, c = 9.5998 Å
α = 90.00°, β = 90.00°, γ = 90.00°
Closest atoms and distances in Å follow each position.
Space group Cmcm (No. 63)
Unique sites:
Rb: 0.0000 0.2490 0.2500 (multiplicity 4)  2 S 3.49, 6 Se 3.50-3.55, 2 Rb 3.83, 2 Cu 3.90
Cu: 0.0000 0.0277 0.7500 (multiplicity 4)  2 S 2.31, 2 Se 2.38
Ir: 0.0000 0.5000 0.0000 (multiplicity 4)  4 Se 2.54, 2 S 2.55
Se: 0.0000 0.1074 0.5370 (multiplicity 8)  1 Cu 2.38, 2 Ir 2.54
S: 0.0000 0.4430 0.7500 (multiplicity 4)  2 Cu 2.31, 2 Ir 2.55



Record 5
Here is ZnH8C9SN4O4 after structural relaxation from OQMD via LeMat-Bulk. Energies are from PBE.

Computed properties:
E_tot in eV/atom: -6.5255
Calculated volume in Å³ per atom: 10.3

a = 7.7595 Å, b = 8.7597 Å, c = 9.5430 Å
α = 76.07°, β = 68.57°, γ = 68.86°
Closest atoms and distances in Å follow each position.
Space group P-1 (No. 2)
Unique sites:
Zn: 0.1665 0.4122 0.1240 (multiplicity 2)  3 O 1.94-2.01, 1 N 1.96
H: 0.0825 0.8016 0.0401 (multiplicity 2)  1 N 1.02
H: 0.2015 0.4191 0.5718 (multiplicity 2)  1 C 1.09
H: 0.2043 0.9475 0.4422 (multiplicity 2)  1 C 1.10
H: 0.2278 0.7083 0.1476 (multiplicity 2)  1 N 1.04
H: 0.3937 0.8539 0.5302 (multiplicity 2)  1 C 1.09
H: 0.3967 0.0382 0.3944 (multiplicity 2)  1 C 1.10
H: 0.4313 0.9738 0.8771 (multiplicity 2)  1 C 1.10
H: 0.4389 0.1670 0.9043 (multiplicity 2)  1 C 1.10
C: 0.0231 0.9873 0.7449 (multiplicity 2)  2 N 1.32-1.38
C: 0.2278 0.0713 0.0764 (multiplicity 2)  2 N 1.32-1.36, 1 C 1.47
C: 0.2604 0.4680 0.8114 (multiplicity 2)  2 O 1.28
C: 0.3060 0.9701 0.4840 (multiplicity 2)  3 H 1.09-1.10
C: 0.3331 0.4548 0.5395 (multiplicity 2)  1 H 1.09
C: 0.3818 0.4919 0.6515 (multiplicity 2)  3 C 1.39-1.48
C: 0.3900 0.4027 0.2845 (multiplicity 2)  2 O 1.24-1.30
C: 0.4202 0.0467 0.9607 (multiplicity 2)  2 H 1.10
C: 0.4505 0.4600 0.3892 (multiplicity 2)  3 C 1.39-1.49
S: 0.1711 0.1040 0.6298 (multiplicity 2)  2 C 1.72-1.80
N: 0.0297 0.8393 0.7283 (multiplicity 2)  1 C 1.32, 1 N 1.38
N: 0.1293 0.1947 0.1592 (multiplicity 2)  1 C 1.32, 1 N 1.38
N: 0.1333 0.9546 0.1319 (multiplicity 2)  2 C 1.36-1.38, 1 N 1.39
N: 0.1937 0.8094 0.0689 (multiplicity 2)  2 H 1.02-1.04
O: 0.1051 0.4309 0.8398 (multiplicity 2)  1 C 1.28
O: 0.2385 0.5081 0.2499 (multiplicity 2)  1 C 1.30
O: 0.3244 0.4746 0.9149 (multiplicity 2)  1 C 1.28
O: 0.4664 0.2604 0.2495 (multiplicity 2)  1 C 1.24



Record 6
Here is ErTmNb after structural relaxation from OQMD via LeMat-Bulk. Energies are from PBE.

Computed properties:
E_tot in eV/atom: -5.5893
Size of the total moment in Bohr magnetons per cell: 8.3
Energy above the most stable polymorph in this dataset in eV per formula unit: 0.00
ΔH_f (0 K) in eV per atom: 0.79
Calculated volume in Å³ per atom: 29.8

a = 7.0944 Å, b = 7.0944 Å, c = 7.0944 Å
α = 90.00°, β = 90.00°, γ = 90.00°
Closest atoms and distances in Å follow each position.
Space group F-43m (No. 216)
Unique sites:
Er: 0.0000 0.0000 0.0000 (multiplicity 4)  4 Nb 3.07
Tm: 0.0000 0.0000 0.5000 (multiplicity 4)  4 Nb 3.07
Nb: 0.2500 0.2500 0.2500 (multiplicity 4)  4 Tm 3.07, 4 Er 3.07



Record 7
Here is HfInCuHg after structural relaxation from OQMD via LeMat-Bulk. Energies are from PBE.

Computed properties:
E_tot in eV/atom: -4.0699
Size of the total moment in Bohr magnetons per cell: 0.0
Energy above the most stable polymorph in this dataset in eV per formula unit: 0.00
Calculated volume in Å³ per atom: 19.3

a = 6.7590 Å, b = 6.7590 Å, c = 6.7590 Å
α = 90.00°, β = 90.00°, γ = 90.00°
Closest atoms and distances in Å follow each position.
Space group F-43m (No. 216)
Unique sites:
Hf: 0.0000 0.0000 0.0000 (multiplicity 4)  4 Hg 2.93, 4 Cu 2.93
In: 0.0000 0.0000 0.5000 (multiplicity 4)  4 Cu 2.93, 4 Hg 2.93
Cu: 0.2500 0.2500 0.7500 (multiplicity 4)  4 Hf 2.93, 4 In 2.93
Hg: 0.2500 0.2500 0.2500 (multiplicity 4)  4 In 2.93, 4 Hf 2.93



Record 8
Here is LiPaNb after structural relaxation from OQMD via LeMat-Bulk. Energies are from PBE.

Computed properties:
E_tot in eV/atom: -5.9676
Size of the total moment in Bohr magnetons per cell: 0.0
Energy above the most stable polymorph in this dataset in eV per formula unit: 1.01
Calculated volume in Å³ per atom: 21.6

a = 6.3762 Å, b = 6.3762 Å, c = 6.3762 Å
α = 90.00°, β = 90.00°, γ = 90.00°
Closest atoms and distances in Å follow each position.
Space group F-43m (No. 216)
Unique sites:
Li: 0.0000 0.0000 0.0000 (multiplicity 4)  4 Pa 2.76
Pa: 0.2500 0.2500 0.2500 (multiplicity 4)  4 Nb 2.76, 4 Li 2.76
Nb: 0.0000 0.0000 0.5000 (multiplicity 4)  4 Pa 2.76



Record 9
Here is Li2ReB after structural relaxation from OQMD via LeMat-Bulk. Energies are from PBE.

Computed properties:
E_tot in eV/atom: -5.1992
Size of the total moment in Bohr magnetons per cell: 2.0
Calculated volume in Å³ per atom: 10.2

a = 5.4686 Å, b = 5.4686 Å, c = 5.4686 Å
α = 90.00°, β = 90.00°, γ = 90.00°
Closest atoms and distances in Å follow each position.
Space group F-43m (No. 216)
Unique sites:
Li: 0.0000 0.0000 0.0000 (multiplicity 4)  4 Li 2.37, 4 Re 2.37
Li: 0.2500 0.2500 0.2500 (multiplicity 4)  4 B 2.37, 4 Li 2.37
Re: 0.2500 0.2500 0.7500 (multiplicity 4)  4 Li 2.37, 4 B 2.37
B: 0.0000 0.0000 0.5000 (multiplicity 4)  4 Li 2.37, 4 Re 2.37



Record 10
Here is SmDyCuTe3 after structural relaxation from OQMD via LeMat-Bulk. Energies are from PBE.

Computed properties:
E_tot in eV/atom: -4.7977
Size of the total moment in Bohr magnetons per cell: 0.0
Energy above the most stable polymorph in this dataset in eV per formula unit: 0.00
Calculated volume in Å³ per atom: 28.9

a = 8.4983 Å, b = 4.1833 Å, c = 9.9800 Å
α = 90.00°, β = 102.03°, γ = 90.00°
Closest atoms and distances in Å follow each position.
Space group P2_1/m (No. 11)
Unique sites:
Sm: 0.1960 0.2500 0.2793 (multiplicity 2)  6 Te 3.13-3.19, 1 Cu 3.40
Dy: 0.3216 0.7500 0.8379 (multiplicity 2)  6 Te 3.04-3.13
Cu: 0.0712 0.2500 0.5811 (multiplicity 2)  4 Te 2.69-2.74, 2 Cu 2.76
Te: 0.0656 0.2500 0.8493 (multiplicity 2)  1 Cu 2.69
Te: 0.2531 0.7500 0.5251 (multiplicity 2)  3 Cu 2.73-2.74, 1 Dy 3.05
Te: 0.4129 0.7500 0.1586 (multiplicity 2)  3 Dy 3.07-3.13, 2 Sm 3.19



Record 11
Here is KPOsO after structural relaxation from OQMD via LeMat-Bulk. Energies are from PBE.

Computed properties:
E_tot in eV/atom: -5.8859
Size of the total moment in Bohr magnetons per cell: 2.5
Energy above the most stable polymorph in this dataset in eV per formula unit: 1.21
Calculated volume in Å³ per atom: 20.9

a = 4.0105 Å, b = 4.0105 Å, c = 10.3934 Å
α = 90.00°, β = 90.00°, γ = 90.00°
Closest atoms and distances in Å follow each position.
Space group P4/nmm (No. 129, origin choice 2)
Unique sites:
K: 0.2500 0.2500 0.1588 (multiplicity 2)  4 O 2.60
P: 0.2500 0.2500 0.6139 (multiplicity 2)  4 Os 2.33
Os: 0.2500 0.7500 0.5000 (multiplicity 2)  4 P 2.33
O: 0.2500 0.7500 0.0000 (multiplicity 2)  4 K 2.60, 4 O 2.84



Record 12
Here is NpHgB after structural relaxation from OQMD via LeMat-Bulk. Energies are from PBE.

Computed properties:
E_tot in eV/atom: -6.0277
Size of the total moment in Bohr magnetons per cell: 16.0
Calculated volume in Å³ per atom: 19.8

a = 6.1898 Å, b = 6.1898 Å, c = 6.1898 Å
α = 90.00°, β = 90.00°, γ = 90.00°
Closest atoms and distances in Å follow each position.
Space group F-43m (No. 216)
Unique sites:
Np: 0.0000 0.0000 0.0000 (multiplicity 4)  4 B 2.68
Hg: 0.0000 0.0000 0.5000 (multiplicity 4)  4 B 2.68
B: 0.2500 0.2500 0.7500 (multiplicity 4)  4 Hg 2.68, 4 Np 2.68